[1]
Compound: TlBi4Pb8
Source: Alexandria
Functional: PBE
Structure: optimized geometry

Magnetization = 0.00 Bohr magnetons per cell
Calculated density = 9.18 g/cm³
Space group = F-43m (216)
Relative energy among the computed polymorphs = 0.126 eV per atom
E_form = 181 meV/atom
Volume = 488.2 Å³/cell

Cell lengths 8.838, 8.838, 8.838 Å; angles 60.00, 60.00, 60.00 degrees
Fractional coordinates of all 13 atoms:
Tl  0.750  0.750  0.750
Bi  0.933  0.356  0.356
Bi  0.356  0.933  0.356
Bi  0.356  0.356  0.933
Bi  0.356  0.356  0.356
Pb  0.708  0.097  0.097
Pb  0.097  0.708  0.097
Pb  0.097  0.097  0.708
Pb  0.097  0.097  0.097
Pb  0.181  0.606  0.606
Pb  0.606  0.181  0.606
Pb  0.606  0.606  0.181
Pb  0.606  0.606  0.606

[2]
Compound: MgTlVCl6
Source: Alexandria
Functional: PBE
Structure: optimized geometry

Magnetization = 4.00 Bohr magnetons per cell
Calculated density = 3.20 g/cm³
Space group = P-31c (163)
Volume = 510.3 Å³/cell
Formation energy from raw total energies = -12.5 eV per formula unit

Cell lengths 6.430, 6.430, 14.253 Å; angles 90.00, 90.00, 120.00 degrees
Each line ends with the local moment (μB).
Fractional coordinates of all 18 atoms:
Mg  0.667  0.333  0.250  0.01
Mg  0.333  0.667  0.750  0.01
Tl  0.000  0.000  0.000  0.00
Tl  0.000  0.000  0.500  0.00
V  0.333  0.667  0.250  1.87
V  0.667  0.333  0.750  1.87
Cl  0.620  0.634  0.153  -0.02
Cl  0.014  0.380  0.153  -0.02
Cl  0.380  0.014  0.653  -0.02
Cl  0.986  0.620  0.847  -0.02
Cl  0.366  0.380  0.347  -0.02
Cl  0.014  0.634  0.347  -0.02
Cl  0.634  0.014  0.847  -0.02
Cl  0.620  0.986  0.347  -0.02
Cl  0.986  0.366  0.653  -0.02
Cl  0.366  0.986  0.153  -0.02
Cl  0.634  0.620  0.653  -0.02
Cl  0.380  0.366  0.847  -0.02

[3]
Compound: MgZrZn2
Source: Alexandria
Functional: PBE
Structure: optimized geometry

Magnetization = 0.00 Bohr magnetons per cell
Calculated density = 4.87 g/cm³
Space group = Immm (71)
E_form = 387 meV/atom
Volume = 83.9 Å³/cell

Cell lengths 6.346, 6.346, 6.346 Å; angles 57.61, 154.81, 129.11 degrees
Fractional coordinates of all 4 atoms:
Mg  0.000  0.000  0.000
Zr  0.000  0.500  0.500
Zn  0.000  0.245  0.245
Zn  0.000  0.755  0.755

[4]
Compound: Tm4Cd3Ag2
Source: Alexandria
Functional: PBE
Structure: optimized geometry

Magnetization = 0.00 Bohr magnetons per cell
Calculated density = 9.49 g/cm³
Space group = C2/m (12)
E_form = -272 meV/atom
Volume = 215.0 Å³/cell

Cell lengths 5.070, 5.070, 9.649 Å; angles 90.05, 90.05, 60.05 degrees
Fractional coordinates of all 9 atoms:
Tm  0.667  0.667  0.118
Tm  0.000  0.000  0.671
Tm  0.000  0.000  0.329
Tm  0.333  0.333  0.882
Cd  0.333  0.333  0.515
Cd  0.000  0.000  0.000
Cd  0.667  0.667  0.485
Ag  0.333  0.333  0.193
Ag  0.667  0.667  0.807

[5]
Compound: PaBOs
Source: Alexandria
Functional: PBE
Structure: optimized geometry

Magnetization = 0.00 Bohr magnetons per cell
Calculated density = 13.79 g/cm³
Space group = Pnma (62)
Relative energy among the computed polymorphs = 0.189 eV per atom
E_form = -205 meV/atom
Volume = 208.1 Å³/cell

Cell lengths 3.590, 6.418, 9.032 Å; angles 90.00, 90.00, 90.00 degrees
Fractional coordinates of all 12 atoms:
B  0.250  0.883  0.384
B  0.750  0.117  0.616
B  0.750  0.383  0.116
B  0.250  0.617  0.884
Pa  0.250  0.996  0.811
Pa  0.750  0.004  0.189
Pa  0.750  0.496  0.689
Pa  0.250  0.504  0.311
Os  0.250  0.177  0.499
Os  0.750  0.823  0.501
Os  0.750  0.677  0.001
Os  0.250  0.323  0.999

[6]
Compound: LaMgRu
Source: Alexandria
Functional: PBE
Structure: optimized geometry

Magnetization = 0.00 Bohr magnetons per cell
Calculated density = 6.34 g/cm³
Space group = P-6m2 (187)
E_form = 14 meV/atom
Volume = 69.2 Å³/cell

Cell lengths 4.636, 4.636, 3.721 Å; angles 90.00, 90.00, 120.00 degrees
Fractional coordinates of all 3 atoms:
La  0.000  0.000  0.000
Mg  0.667  0.333  0.500
Ru  0.333  0.667  0.500

calculated density of number 5 (PaBOs)? 13.79 g/cm³